[1]
First-principles (PBE) data for a geometry-optimized Ta3Pd7 structure, as listed in Alexandria.

Properties
E_form = -0.35 eV per atom
Energy = -75.40 eV per cell
Space group = C2/m, No. 12

```
data_Ta3Pd7
_chemical_formula_sum 'Ta3 Pd7'
_cell_length_a 7.4869
_cell_length_b 7.4869
_cell_length_c 5.7115
_cell_angle_alpha 100.37
_cell_angle_beta 100.37
_cell_angle_gamma 30.28
_space_group_name_H-M_alt 'P 1'
_space_group_IT_number 1
loop_
_space_group_symop_operation_xyz
'x,y,z'
loop_
_atom_site_label
_atom_site_type_symbol
_atom_site_fract_x
_atom_site_fract_y
_atom_site_fract_z
Ta1 Ta 0.0000 0.0000 0.0000
Ta2 Ta 0.2011 0.2011 0.6141
Ta3 Ta 0.7989 0.7989 0.3859
Pd1 Pd 0.0000 0.0000 0.5000
Pd2 Pd 0.1983 0.1983 0.1031
Pd3 Pd 0.4002 0.4002 0.6998
Pd4 Pd 0.4045 0.4045 0.2012
Pd5 Pd 0.5955 0.5955 0.7988
Pd6 Pd 0.5998 0.5998 0.3002
Pd7 Pd 0.8017 0.8017 0.8969
```

---

[2]
First-principles (PBE) data for a geometry-optimized Ta3Pd structure, as listed in Alexandria.

Properties
E_form = -0.04 eV per atom
Energy = -40.92 eV per cell
Space group = I4/mmm, No. 139

```
data_Ta3Pd
_chemical_formula_sum 'Ta3 Pd1'
_cell_length_a 5.1673
_cell_length_b 5.1673
_cell_length_c 5.1673
_cell_angle_alpha 133.96
_cell_angle_beta 133.96
_cell_angle_gamma 67.15
_space_group_name_H-M_alt 'P 1'
_space_group_IT_number 1
loop_
_space_group_symop_operation_xyz
'x,y,z'
loop_
_atom_site_label
_atom_site_type_symbol
_atom_site_fract_x
_atom_site_fract_y
_atom_site_fract_z
Ta1 Ta 0.0000 0.0000 0.0000
Ta2 Ta 0.2500 0.7500 0.5000
Ta3 Ta 0.7500 0.2500 0.5000
Pd1 Pd 0.5000 0.5000 0.0000
```

---

[3]
First-principles (PBE) data for a geometry-optimized TaPd4 structure, as listed in Alexandria.

Properties
E_form = 0.93 eV per atom
Energy = -27.95 eV per cell
Energy relative to the lowest polymorph listed for this composition = 1051.9 meV per atom
Space group = Pm-3m, No. 221

```
data_TaPd4
_chemical_formula_sum 'Ta1 Pd4'
_cell_length_a 4.7787
_cell_length_b 4.7787
_cell_length_c 4.7787
_cell_angle_alpha 90.00
_cell_angle_beta 90.00
_cell_angle_gamma 90.00
_space_group_name_H-M_alt 'P 1'
_space_group_IT_number 1
loop_
_space_group_symop_operation_xyz
'x,y,z'
loop_
_atom_site_label
_atom_site_type_symbol
_atom_site_fract_x
_atom_site_fract_y
_atom_site_fract_z
Ta1 Ta 0.0000 0.0000 0.0000
Pd1 Pd 0.0000 0.0000 0.5000
Pd2 Pd 0.0000 0.5000 0.0000
Pd3 Pd 0.5000 0.0000 0.0000
Pd4 Pd 0.5000 0.5000 0.5000
```

---

[4]
First-principles (PBE) data for a geometry-optimized TaPd structure, as listed in Alexandria.

Properties
E_form = 0.01 eV per atom
Energy = -68.12 eV per cell
Space group = I4/m, No. 87

```
data_TaPd
_chemical_formula_sum 'Ta4 Pd4'
_cell_length_a 7.2727
_cell_length_b 7.2727
_cell_length_c 7.2727
_cell_angle_alpha 92.17
_cell_angle_beta 92.17
_cell_angle_gamma 157.57
_space_group_name_H-M_alt 'P 1'
_space_group_IT_number 1
loop_
_space_group_symop_operation_xyz
'x,y,z'
loop_
_atom_site_label
_atom_site_type_symbol
_atom_site_fract_x
_atom_site_fract_y
_atom_site_fract_z
Ta1 Ta 0.1066 0.6426 0.7491
Ta2 Ta 0.3574 0.1066 0.4640
Ta3 Ta 0.6426 0.8934 0.5360
Ta4 Ta 0.8934 0.3574 0.2509
Pd1 Pd 0.0965 0.1649 0.2614
Pd2 Pd 0.1649 0.9035 0.0685
Pd3 Pd 0.8351 0.0965 0.9315
Pd4 Pd 0.9035 0.8351 0.7386
```

---

DOS(E_F) (states/eV/f.u.)
6.820; 3.415; 4.269; 1.541